Compound: BaNaIn6
Source: Alexandria
Functional: PBE
Structure: optimized geometry

The formation energy comes out at -1.54 eV per formula unit. Its magnetic moment is 0.0 Bohr magnetons per cell. The density of states at the Fermi level is 3.90 states/eV per cell. As for the crystal system: orthorhombic. Its calculated total energy is -0.0975 hartree per atom.

The structure belongs to space group Pmm2 (No. 25); the cell edges are 5.138, 7.585 and 6.098 Å and the angles 90.00°, 90.00° and 90.00°. The inequivalent atoms are Ba at (0.000, 0.000, 0.000), Na at (0.500, 0.500, 0.296), In at (0.000, 0.284, 0.489), In at (0.000, 0.500, 0.978), In at (0.500, 0.000, 0.441) and In at (0.500, 0.294, 0.807).

Compound: Ba2NaIn9
Source: Alexandria
Functional: PBE
Structure: optimized geometry

The formation energy comes out at -2.60 eV per formula unit. Its magnetic moment is 0.0 Bohr magnetons per cell. The density of states at the Fermi level is 13.90 states/eV per cell. As for the crystal system: trigonal. Its calculated total energy is -0.0993 hartree per atom.

The structure belongs to space group R-3m (No. 166, hexagonal axes); the cell edges are 6.3742, 6.3742 and 31.7642 Å and the angles 90.00°, 90.00° and 120.00°. The inequivalent atoms are Ba at (0.0000, 0.0000, 0.1407), Na at (0.0000, 0.0000, 0.0000), In at (0.0000, 0.0000, 0.3354), In at (0.0000, 0.0000, 0.5000) and In at (0.0043, 0.5021, 0.9176).

Compound: Ba4Na2In
Source: Alexandria
Functional: PBE
Structure: optimized geometry

The formation energy comes out at -0.40 eV per formula unit. Its magnetic moment is 0.0 Bohr magnetons per cell. The density of states at the Fermi level is 20.59 states/eV per cell. As for the crystal system: trigonal. Its calculated total energy is -0.0707 hartree per atom.

The structure belongs to space group R-3m (No. 166, hexagonal axes); the cell edges are 6.2918, 6.2918 and 30.5621 Å and the angles 90.00°, 90.00° and 120.00°. The inequivalent atoms are Ba at (0.0000, 0.0000, 0.1209), Ba at (0.0000, 0.0000, 0.3717), Na at (0.0000, 0.0000, 0.2515) and In at (0.0000, 0.0000, 0.0000).

Compound: BaNaIn3
Source: Alexandria
Functional: PBE
Structure: optimized geometry

The formation energy comes out at 2.95 eV per formula unit. Its magnetic moment is 0.0 Bohr magnetons per cell. The density of states at the Fermi level is 12.06 states/eV per cell. As for the crystal system: cubic. The polymorph energy (0 for the lowest one) is 843.8 meV/atom. Its calculated total energy is -0.0625 hartree per atom.

The structure belongs to space group Pm-3m (No. 221); the cell edges are 6.430, 6.430 and 6.430 Å and the angles 90.00°, 90.00° and 90.00°. The inequivalent atoms are Ba at (0.000, 0.000, 0.000), Na at (0.500, 0.500, 0.500) and In at (0.000, 0.000, 0.500).